BaMg2ScCr PBE optimized geometry; Fermi-level density of states = 1.34 states/eV per atom; energy relative to the elements = 3.35 eV per formula unit
1.0
5.6722 0.0000 0.0000
0.0000 5.0196 0.0000
0.0000 0.0000 5.6722
Sc Cr Mg Ba
1 1 2 1
Cartesian
0.0000 0.0000 0.0000 Sc
0.0000 2.5098 0.0000 Cr
0.0000 0.0000 2.8361 Mg
2.8361 0.0000 0.0000 Mg
2.8361 2.5098 2.8361 Ba